No. 1
Compound: BaSrLi2
Source: the Alexandria database
Functional: GGA-PBEsol
Structure: relaxed

Results
- mass density (g cm⁻³) = 2.57
- energy relative to the lowest polymorph listed for this composition (meV/atom) = 0
- E_form (meV per atom) = 31

a = 8.516 Å, b = 8.516 Å, c = 8.516 Å
α = 90.00°, β = 90.00°, γ = 90.00°
Fractional positions:
Ba  0.000  0.000  0.000
Ba  0.000  0.500  0.500
Ba  0.500  0.000  0.500
Ba  0.500  0.500  0.000
Sr  0.000  0.000  0.500
Sr  0.000  0.500  0.000
Sr  0.500  0.000  0.000
Sr  0.500  0.500  0.500
Li  0.250  0.250  0.250
Li  0.250  0.250  0.750
Li  0.250  0.750  0.250
Li  0.250  0.750  0.750
Li  0.750  0.250  0.250
Li  0.750  0.250  0.750
Li  0.750  0.750  0.250
Li  0.750  0.750  0.750

No. 2
Compound: BaSrLi2
Source: the Alexandria database
Functional: GGA-PBEsol
Structure: relaxed

Results
- mass density (g cm⁻³) = 2.62
- energy relative to the lowest polymorph listed for this composition (meV/atom) = 2
- E_form (meV per atom) = 34

a = 4.051 Å, b = 4.051 Å, c = 9.209 Å
α = 90.00°, β = 90.00°, γ = 90.00°
Fractional positions:
Ba  0.000  0.000  0.000
Sr  0.500  0.500  0.644
Li  0.000  0.000  0.393
Li  0.500  0.500  0.266

No. 3
Compound: BaSrLi2
Source: the Alexandria database
Functional: GGA-PBEsol
Structure: relaxed

Results
- mass density (g cm⁻³) = 2.62
- energy relative to the lowest polymorph listed for this composition (meV/atom) = 19
- E_form (meV per atom) = 50

a = 4.071 Å, b = 6.057 Å, c = 12.293 Å
α = 90.00°, β = 90.00°, γ = 90.00°
Fractional positions:
Ba  0.000  0.000  0.000
Ba  0.500  0.500  0.500
Sr  0.000  0.500  0.205
Sr  0.500  0.000  0.705
Li  0.000  0.000  0.442
Li  0.000  0.500  0.764
Li  0.500  0.000  0.264
Li  0.500  0.500  0.942

Number 1: spin magnetization 0.000 μB/atom. Number 2: spin magnetization 0.000 μB/atom. Number 3: spin magnetization 0.000 μB/atom.